<A>
## CsMg3P (PBE-GGA)

Data for a relaxed structure of CsMg3P.

The value obtained for the magnetic moment is 0.422 μB per atom. The density of states at the Fermi level comes out at 8.34 states/eV/f.u.

abc: 7.3705 7.3705 7.3705
angles: 90.00 90.00 90.00
Space group Pm-3m (No. 221)
Inequivalent atoms, fractional coordinates:
1 Cs 0.0000 0.0000 0.0000 (multiplicity 1)
2 Mg 0.0000 0.0000 0.5000 (multiplicity 3)
3 P 0.5000 0.5000 0.5000 (multiplicity 1)

<B>
## CsMg3P (PBE-GGA)

Data for a relaxed structure of CsMg3P.

The value obtained for the magnetic moment is 0.000 μB per atom. The density of states at the Fermi level comes out at 2.34 states/eV/f.u.

abc: 5.4192 5.4192 5.4192
angles: 90.00 90.00 90.00
Space group Pm-3m (No. 221)
Inequivalent atoms, fractional coordinates:
1 Cs 0.0000 0.0000 0.0000 (multiplicity 1)
2 Mg 0.0000 0.5000 0.5000 (multiplicity 3)
3 P 0.5000 0.5000 0.5000 (multiplicity 1)

What is the most stable structure shown above? It is <B>.